The following is a DFT calculation (PBE) of a geometry-optimized PmThSb2 structure.

Calculated values
Density of states at the Fermi level, states/eV/f.u.: 4.4
Energy above the lowest structure with this stoichiometry, meV/atom: 227
Formation energy from raw total energies, eV/atom: -0.83
Crystal system: cubic
Theoretical density, Mg/m³: 8.9

Cell lengths 7.729, 7.729, 7.729 Å; angles 90.00, 90.00, 90.00 degrees
Space group Fm-3m (No. 225)
Inequivalent atoms, fractional coordinates:
Pm  0.000  0.000  0.000
Th  0.000  0.000  0.500
Sb  0.250  0.250  0.250

The following is a DFT calculation (PBE) of a geometry-optimized Be2CdH6 structure.

Calculated values
Density of states at the Fermi level, states/eV/f.u.: 0.0
Energy above the lowest structure with this stoichiometry, meV/atom: 0
Crystal system: triclinic
Theoretical density, Mg/m³: 2.5

Cell lengths 4.730, 4.840, 4.910 Å; angles 68.83, 62.51, 72.91 degrees
Space group P-1 (No. 2)
Inequivalent atoms, fractional coordinates:
Be  0.025  0.376  0.359
Cd  0.500  0.000  0.500
H  0.036  0.695  0.299
H  0.229  0.673  0.682
H  0.337  0.224  0.184

The following is a DFT calculation (PBE) of a geometry-optimized LaAs2W structure.

Calculated values
Energy of formation, eV/f.u.: -1.9
Density of states at the Fermi level, states/eV/f.u.: 2.5
Energy above the lowest structure with this stoichiometry, meV/atom: 0
Crystal system: trigonal
Theoretical density, Mg/m³: 8.9

Cell lengths 4.0373, 4.0373, 18.7475 Å; angles 90.00, 90.00, 120.00 degrees
Space group R-3m (No. 166, hexagonal axes)
Inequivalent atoms, fractional coordinates:
La  0.0000  0.0000  0.0000
As  0.0000  0.0000  0.2328
W  0.0000  0.0000  0.5000

The following is a DFT calculation (PBE) of a geometry-optimized K3Np3VS8 structure.

Calculated values
Density of states at the Fermi level, states/eV/f.u.: 30.9
Formation energy from raw total energies, eV/atom: -1.30
Crystal system: trigonal
Theoretical density, Mg/m³: 4.7

Cell lengths 7.8269, 7.8269, 22.5798 Å; angles 90.00, 90.00, 120.00 degrees
Space group R-3m (No. 166, hexagonal axes)
Inequivalent atoms, fractional coordinates:
K  0.0000  0.5000  0.0000
Np  0.0000  0.5000  0.5000
V  0.0000  0.0000  0.5000
S  0.0000  0.0000  0.2348
S  0.0192  0.5096  0.2292

The following is a DFT calculation (PBE) of a geometry-optimized CeBRh2 structure.

Calculated values
Energy of formation, eV/f.u.: -1.1
Density of states at the Fermi level, states/eV/f.u.: 3.6
Crystal system: trigonal
Theoretical density, Mg/m³: 9.6

Cell lengths 3.0916, 3.0916, 22.3776 Å; angles 90.00, 90.00, 120.00 degrees
Space group R-3m (No. 166, hexagonal axes)
Inequivalent atoms, fractional coordinates:
Ce  0.0000  0.0000  0.0000
B  0.0000  0.0000  0.5000
Rh  0.0000  0.0000  0.2186

The following is a DFT calculation (PBE) of a geometry-optimized K2CoSe structure.

Calculated values
Density of states at the Fermi level, states/eV/f.u.: 5.2
Formation energy from raw total energies, eV/atom: -0.23
Crystal system: monoclinic
Theoretical density, Mg/m³: 2.9

Cell lengths 5.542, 4.426, 5.789 Å; angles 90.00, 118.51, 90.00 degrees
Space group Pm (No. 6)
Inequivalent atoms, fractional coordinates:
K  0.000  0.000  0.000
K  0.322  0.500  0.642
Co  0.651  0.500  0.300
Se  0.674  0.000  0.349

The following is a DFT calculation (PBE) of a geometry-optimized Ti2AlPt2 structure.

Calculated values
Energy of formation, eV/f.u.: -4.1
Density of states at the Fermi level, states/eV/f.u.: 2.6
Energy above the lowest structure with this stoichiometry, meV/atom: 0
Crystal system: tetragonal
Theoretical density, Mg/m³: 10.3

Cell lengths 7.166, 7.166, 3.229 Å; angles 90.00, 90.00, 90.00 degrees
Space group P4/mbm (No. 127)
Inequivalent atoms, fractional coordinates:
Ti  0.167  0.333  0.000
Al  0.000  0.000  0.500
Pt  0.135  0.635  0.500

The following is a DFT calculation (PBE) of a geometry-optimized InMo structure.

Calculated values
Energy of formation, eV/f.u.: 0.7
Density of states at the Fermi level, states/eV/f.u.: 1.6
Energy above the lowest structure with this stoichiometry, meV/atom: 143
Crystal system: monoclinic
Theoretical density, Mg/m³: 8.8

Cell lengths 11.362, 3.164, 6.754 Å; angles 90.00, 100.28, 90.00 degrees
Space group Cm (No. 8)
Inequivalent atoms, fractional coordinates:
In  0.000  0.000  0.000
In  0.008  0.000  0.567
In  0.279  0.000  0.642
Mo  0.141  0.500  0.314
Mo  0.233  0.500  0.003
Mo  0.356  0.000  0.243

The following is a DFT calculation (PBE) of a geometry-optimized VPb2W structure.

Calculated values
Energy of formation, eV/f.u.: 3.8
Density of states at the Fermi level, states/eV/f.u.: 4.6
Energy above the lowest structure with this stoichiometry, meV/atom: 0
Crystal system: cubic
Theoretical density, Mg/m³: 13.4

Cell lengths 6.859, 6.859, 6.859 Å; angles 90.00, 90.00, 90.00 degrees
Space group Fm-3m (No. 225)
Inequivalent atoms, fractional coordinates:
V  0.000  0.000  0.000
Pb  0.250  0.250  0.250
W  0.000  0.000  0.500

The following is a DFT calculation (PBE) of a geometry-optimized InHg2Au2 structure.

Calculated values
Energy of formation, eV/f.u.: -0.1
Density of states at the Fermi level, states/eV/f.u.: 1.8
Energy above the lowest structure with this stoichiometry, meV/atom: 0
Crystal system: orthorhombic
Theoretical density, Mg/m³: 12.6

Cell lengths 3.882, 13.045, 9.441 Å; angles 90.00, 90.00, 90.00 degrees
Space group Cmc2_1 (No. 36)
Inequivalent atoms, fractional coordinates:
In  0.000  0.090  0.000
Hg  0.000  0.208  0.394
Hg  0.000  0.382  0.163
Au  0.000  0.301  0.663
Au  0.000  0.461  0.871

The following is a DFT calculation (PBE) of a geometry-optimized Pm2Be3PdPt12 structure.

Calculated values
Energy of formation, eV/f.u.: -5.7
Density of states at the Fermi level, states/eV/f.u.: 9.5
Crystal system: trigonal
Theoretical density, Mg/m³: 13.8

Cell lengths 8.0217, 8.0217, 17.9130 Å; angles 90.00, 90.00, 120.00 degrees
Space group R-3m (No. 166, hexagonal axes)
Inequivalent atoms, fractional coordinates:
Pm  0.0000  0.0000  0.1074
Be  0.0000  0.5000  0.0000
Pd  0.0000  0.0000  0.5000
Pt  0.0177  0.5089  0.8747
Pt  0.0321  0.5160  0.3666

The following is a DFT calculation (PBE) of a geometry-optimized PmRhS2 structure.

Calculated values
Density of states at the Fermi level, states/eV/f.u.: 1.4
Formation energy from raw total energies, eV/atom: -0.55
Crystal system: trigonal
Theoretical density, Mg/m³: 5.7

Cell lengths 3.6659, 3.6659, 23.5699 Å; angles 90.00, 90.00, 120.00 degrees
Space group R-3m (No. 166, hexagonal axes)
Inequivalent atoms, fractional coordinates:
Pm  0.0000  0.0000  0.0000
Rh  0.0000  0.0000  0.5000
S  0.0000  0.0000  0.1176

| no. | total moment (μB/cell) | V (Å³/cell) |
| --- | --- | --- |
| 1 | 0.00 | 461.7 |
| 2 | 0.00 | 91.9 |
| 3 | 2.77 | 264.6 |
| 4 | 39.00 | 1197.9 |
| 5 | 0.00 | 185.2 |
| 6 | 1.00 | 124.8 |
| 7 | 0.00 | 165.8 |
| 8 | 0.00 | 238.9 |
| 9 | 3.55 | 322.6 |
| 10 | 0.00 | 478.1 |
| 11 | 0.00 | 998.2 |
| 12 | 0.00 | 274.3 |